# 1
A relaxed La2AgIr crystal. Source: Alexandria via LeMat-Bulk, functional PBEsol.

a = 4.1879 Å, b = 4.1879 Å, c = 21.7759 Å
α = 90.00°, β = 90.00°, γ = 120.00°
Space group R-3m (No. 166, hexagonal axes)
One atom of each set of equivalent atoms:
La1 0.0000 0.0000 0.2368 x6
Ag1 0.0000 0.0000 0.0000 x3
Ir1 0.0000 0.0000 0.5000 x3

Computed properties:
ΔH_f (0 K) = -0.43 eV/atom
Distance to the lowest polymorph of the same formula = 0.7 meV/atom

=====

# 2
A relaxed Hg2PtW crystal. Source: Alexandria via LeMat-Bulk, functional PBEsol.

a = 5.690 Å, b = 9.889 Å, c = 2.784 Å
α = 90.00°, β = 116.20°, γ = 90.00°
Space group C2/m (No. 12)
One atom of each set of equivalent atoms:
Hg1 0.250 0.250 0.000 x4
Pt1 0.000 0.000 0.500 x2
W1 0.000 0.500 0.500 x2

Computed properties:
ΔH_f (0 K) = 0.53 eV/atom
Distance to the lowest polymorph of the same formula = 85.4 meV/atom

=====

# 3
A relaxed KTlSb crystal. Source: Alexandria via LeMat-Bulk, functional PBEsol.

a = 5.5738 Å, b = 5.5738 Å, c = 3.3430 Å
α = 90.00°, β = 90.00°, γ = 120.00°
Space group P3m1 (No. 156)
One atom of each set of equivalent atoms:
K1 0.0000 0.0000 0.0000 x1
Tl1 0.6667 0.3333 0.3737 x1
Sb1 0.3333 0.6667 0.5556 x1

Computed properties:
Formation energy without anion corrections = -0.207 eV per atom
Distance to the lowest polymorph of the same formula = 12.4 meV/atom

=====

# 4
A relaxed Mn2MoRh2 crystal. Source: Alexandria via LeMat-Bulk, functional PBEsol.

a = 3.159 Å, b = 3.159 Å, c = 13.424 Å
α = 90.00°, β = 90.00°, γ = 90.00°
Space group I4/mmm (No. 139)
One atom of each set of equivalent atoms:
Mn1 0.000 0.500 0.250 x4
Mo1 0.000 0.000 0.000 x2
Rh1 0.000 0.000 0.398 x4

Computed properties:
ΔH_f (0 K) = 0.38 eV/atom

=====

Number 1: energy -76.6 eV for the cell shown. Number 2: energy -39.6 eV for the cell shown. Number 3: energy -8.9 eV for the cell shown. Number 4: energy -91.4 eV for the cell shown.